No. 1
# La2YHo3Te6

A relaxed La2YHo3Te6 crystal (PBE-GGA, Alexandria via LeMat-Bulk).

a b c (Å): 9.9103 9.9103 8.9174
angles (deg): 103.68 103.68 25.60
Closest atoms and distances in Å follow each position.
Positions (direct):
La1 0.1669 0.1669 0.3334  6 Te 3.21-3.24
La2 0.8331 0.8331 0.6666  6 Te 3.21-3.24
Y1 0.5000 0.5000 0.0000  6 Te 3.10-3.14
Ho1 0.1709 0.1709 0.8343  6 Te 3.05-3.10
Ho2 0.5000 0.5000 0.5000  6 Te 3.04-3.12
Ho3 0.8291 0.8291 0.1657  6 Te 3.05-3.10
Te1 0.0058 0.0058 0.7512  3 Ho 3.10-3.12, 2 Y 3.14, 1 La 3.24
Te2 0.3349 0.3349 0.9306  3 Ho 3.06-3.08, 1 Y 3.10, 2 La 3.21
Te3 0.3379 0.3379 0.4069  3 Ho 3.04-3.05, 3 La 3.21
Te4 0.6621 0.6621 0.5931  3 Ho 3.04-3.05, 3 La 3.21
Te5 0.6651 0.6651 0.0694  3 Ho 3.06-3.08, 1 Y 3.10, 2 La 3.21
Te6 0.9942 0.9942 0.2488  3 Ho 3.10-3.12, 2 Y 3.14, 1 La 3.24

Output
final energy: -0.40054 Ry/atom
energy relative to the elements, uncorrected: -1.374 eV per atom
spin magnetization: 0.00 μB/atom
mass density: 7.4 Mg/m³
SG: C2/m, No. 12

=====

No. 2
# NaMnSbTe3

A relaxed NaMnSbTe3 crystal (PBE-GGA, Alexandria via LeMat-Bulk).

a b c (Å): 9.3082 4.4097 9.8926
angles (deg): 90.00 101.67 90.00
Closest atoms and distances in Å follow each position.
Positions (direct):
Na1 0.1803 0.2500 0.2297  7 Te 3.36-3.50
Na2 0.8197 0.7500 0.7703  7 Te 3.36-3.50
Mn1 0.0827 0.2500 0.5999  4 Te 2.70-2.79
Mn2 0.9173 0.7500 0.4001  4 Te 2.70-2.79
Sb1 0.3381 0.7500 0.8635  5 Te 2.91-3.14
Sb2 0.6619 0.2500 0.1365  5 Te 2.91-3.14
Te1 0.1091 0.2500 0.8772  1 Mn 2.70
Te2 0.2184 0.7500 0.5097  3 Mn 2.78-2.79
Te3 0.4294 0.7500 0.1622  3 Sb 2.91-3.14
Te4 0.5706 0.2500 0.8378  3 Sb 2.91-3.14
Te5 0.7816 0.2500 0.4903  3 Mn 2.78-2.79
Te6 0.8909 0.7500 0.1228  1 Mn 2.70

Output
final energy: -0.31743 Ry/atom
energy relative to the elements, uncorrected: -0.313 eV per atom
spin magnetization: 0.83 μB/atom
mass density: 4.9 Mg/m³
SG: P2_1/m, No. 11

=====

No. 3
# Th2B2C3

A relaxed Th2B2C3 crystal (PBE-GGA, Alexandria via LeMat-Bulk).

a b c (Å): 6.8820 6.8820 3.9972
angles (deg): 98.08 98.08 30.84
Closest atoms and distances in Å follow each position.
Positions (direct):
Th1 0.1434 0.1434 0.2115  5 C 2.49-2.69
Th2 0.8566 0.8566 0.7885  5 C 2.49-2.69
B1 0.4488 0.4488 0.3086  2 C 1.49-1.54
B2 0.5512 0.5512 0.6914  2 C 1.49-1.54
C1 0.3332 0.3332 0.3148  1 B 1.54
C2 0.5000 0.5000 0.0000  2 B 1.49
C3 0.6668 0.6668 0.6852  1 B 1.54

Output
final energy: -0.61730 Ry/atom
spin magnetization: 0.00 μB/atom
formation enthalpy at 0 K: -0.42 eV/atom
mass density: 9.0 Mg/m³
relative energy among the computed polymorphs: 0 meV per atom
SG: C2/m, No. 12

=====

No. 4
# Ce2SiH2

A relaxed Ce2SiH2 crystal (PBE-GGA, Alexandria via LeMat-Bulk).

a b c (Å): 6.0420 6.0420 6.0420
angles (deg): 142.40 142.40 54.22
Closest atoms and distances in Å follow each position.
Positions (direct):
Ce1 0.1319 0.1319 0.0000  4 H 2.32
Ce2 0.8681 0.8681 0.0000  4 H 2.32
Si1 0.5000 0.5000 0.0000  8 Ce 3.10, 8 H 3.32
H1 0.2500 0.7500 0.5000  4 Ce 2.32
H2 0.7500 0.2500 0.5000  4 Ce 2.32

Output
final energy: -0.39399 Ry/atom
spin magnetization: 0.28 μB/atom
mass density: 6.3 Mg/m³
SG: I4/mmm, No. 139

=====

No. 5
# CoNi2Br

A relaxed CoNi2Br crystal (PBE-GGA, Alexandria via LeMat-Bulk).

a b c (Å): 4.3351 4.3351 2.9885
angles (deg): 90.00 90.00 108.52
Closest atoms and distances in Å follow each position.
Positions (direct):
Co1 0.0000 0.0000 0.0000  2 Br 2.53, 8 Ni 2.63
Ni1 0.0000 0.5000 0.5000  2 Ni 2.53, 4 Br 2.63, 4 Co 2.63
Ni2 0.5000 0.0000 0.5000  2 Ni 2.53, 4 Br 2.63, 4 Co 2.63
Br1 0.5000 0.5000 0.0000  2 Co 2.53, 8 Ni 2.63

Output
final energy: -0.32418 Ry/atom
energy relative to the elements, uncorrected: 0.675 eV per atom
spin magnetization: 0.68 μB/atom
mass density: 8.0 Mg/m³
relative energy among the computed polymorphs: 288 meV per atom
SG: Cmmm, No. 65

=====

No. 6
# LaHSe

A relaxed LaHSe crystal (PBE-GGA, Alexandria via LeMat-Bulk).

a b c (Å): 8.5327 8.5327 8.5327
angles (deg): 28.36 28.36 28.36
Closest atoms and distances in Å follow each position.
Positions (direct):
La1 0.0000 0.0000 0.0000  6 Se 2.97
La2 0.5000 0.5000 0.5000  6 H 2.45
H1 0.1495 0.1495 0.1495  3 La 2.45, 3 H 2.56
H2 0.8505 0.8505 0.8505  3 La 2.45, 3 H 2.56
Se1 0.2632 0.2632 0.2632  4 H 2.79-3.10, 3 La 2.97
Se2 0.7368 0.7368 0.7368  4 H 2.79-3.10, 3 La 2.97

Output
final energy: -0.38817 Ry/atom
spin magnetization: 0.00 μB/atom
mass density: 5.9 Mg/m³
SG: R-3m, No. 166

=====

No. 7
# Rb3Np2PbS6

A relaxed Rb3Np2PbS6 crystal (PBE-GGA, Alexandria via LeMat-Bulk).

a b c (Å): 7.2560 7.2560 8.0140
angles (deg): 98.70 98.70 119.96
Closest atoms and distances in Å follow each position.
Positions (direct):
Rb1 0.0000 0.0000 0.0000  6 S 3.24-3.43
Rb2 0.3407 0.6593 0.0000  6 S 3.28-3.44
Rb3 0.6593 0.3407 0.0000  6 S 3.28-3.44
Np1 0.1672 0.8328 0.5000  6 S 2.76
Np2 0.8328 0.1672 0.5000  6 S 2.76
Pb1 0.5000 0.5000 0.5000  6 S 2.99-3.00
S1 0.0752 0.4348 0.3054  2 Np 2.76, 1 Pb 3.00
S2 0.2052 0.2052 0.6924  2 Np 2.76, 1 Pb 2.99
S3 0.4348 0.0752 0.3054  2 Np 2.76, 1 Pb 3.00
S4 0.5652 0.9248 0.6946  2 Np 2.76, 1 Pb 3.00
S5 0.7948 0.7948 0.3076  2 Np 2.76, 1 Pb 2.99
S6 0.9248 0.5652 0.6946  2 Np 2.76, 1 Pb 3.00

Output
final energy: -0.44162 Ry/atom
energy relative to the elements, uncorrected: -1.237 eV per atom
spin magnetization: 0.58 μB/atom
mass density: 5.4 Mg/m³
SG: C2/m, No. 12

=====

No. 8
# DyHoBi2

A relaxed DyHoBi2 crystal (PBE-GGA, Alexandria via LeMat-Bulk).

a b c (Å): 4.4648 6.3112 8.9300
angles (deg): 90.00 90.00 90.00
Closest atoms and distances in Å follow each position.
Positions (direct):
Dy1 0.2500 0.2500 0.1250  6 Bi 3.16
Dy2 0.7500 0.7500 0.8750  6 Bi 3.16
Ho1 0.2500 0.2500 0.6249  6 Bi 3.15-3.16
Ho2 0.7500 0.7500 0.3751  6 Bi 3.15-3.16
Bi1 0.2500 0.7500 0.1259  2 Ho 3.15, 4 Dy 3.16
Bi2 0.2500 0.7500 0.6243  4 Ho 3.15-3.16, 2 Dy 3.16
Bi3 0.7500 0.2500 0.3757  4 Ho 3.15-3.16, 2 Dy 3.16
Bi4 0.7500 0.2500 0.8741  2 Ho 3.15, 4 Dy 3.16

Output
final energy: -0.37368 Ry/atom
spin magnetization: 0.00 μB/atom
formation enthalpy at 0 K: -0.85 eV/atom
mass density: 9.8 Mg/m³
relative energy among the computed polymorphs: 0 meV per atom
SG: Pmmn, No. 59

=====

No. 9
# LuPaIrOs

A relaxed LuPaIrOs crystal (PBE-GGA, Alexandria via LeMat-Bulk).

a b c (Å): 4.8338 4.8338 4.8338
angles (deg): 60.00 60.00 60.00
Closest atoms and distances in Å follow each position.
Positions (direct):
Lu1 0.0000 0.0000 0.0000  4 Ir 2.96, 4 Os 2.96
Pa1 0.5000 0.5000 0.5000  4 Os 2.96, 4 Ir 2.96
Ir1 0.7500 0.7500 0.7500  4 Pa 2.96, 4 Lu 2.96
Os1 0.2500 0.2500 0.2500  4 Pa 2.96, 4 Lu 2.96

Output
final energy: -0.66525 Ry/atom
spin magnetization: 0.00 μB/atom
formation enthalpy at 0 K: -0.52 eV/atom
mass density: 16.4 Mg/m³
SG: F-43m, No. 216

=====

No. 10
# Ce2AlZn7

A relaxed Ce2AlZn7 crystal (PBE-GGA, Alexandria via LeMat-Bulk).

a b c (Å): 4.2352 4.2352 10.5688
angles (deg): 90.00 90.00 90.00
Closest atoms and distances in Å follow each position.
Positions (direct):
Ce1 0.0000 0.5000 0.2467  14 Zn 3.23-3.41, 2 Al 3.41
Ce2 0.5000 0.0000 0.7533  14 Zn 3.23-3.41, 2 Al 3.41
Al1 0.0000 0.0000 0.5000  4 Zn 2.56
Zn1 0.0000 0.0000 0.0000  4 Zn 2.54
Zn2 0.0000 0.5000 0.6367  3 Zn 2.44-2.56, 2 Al 2.56
Zn3 0.0000 0.5000 0.8673  5 Zn 2.44-2.54
Zn4 0.5000 0.0000 0.1327  5 Zn 2.44-2.54
Zn5 0.5000 0.0000 0.3633  3 Zn 2.44-2.56, 2 Al 2.56
Zn6 0.5000 0.5000 0.0000  4 Zn 2.54
Zn7 0.5000 0.5000 0.5000  4 Zn 2.56

Output
final energy: -0.20086 Ry/atom
spin magnetization: 0.12 μB/atom
formation enthalpy at 0 K: -0.28 eV/atom
mass density: 6.7 Mg/m³
SG: P-4m2, No. 115

=====

No. 11
# Er2Ta2Ge2C

A relaxed Er2Ta2Ge2C crystal (PBE-GGA, Alexandria via LeMat-Bulk).

a b c (Å): 8.0515 8.0515 8.0515
angles (deg): 149.46 149.46 43.74
Closest atoms and distances in Å follow each position.
Positions (direct):
Er1 0.1665 0.1665 0.0000  1 C 2.49
Er2 0.8335 0.8335 0.0000  1 C 2.49
Ta1 0.0000 0.5000 0.5000  2 C 2.12
Ta2 0.5000 0.0000 0.5000  2 C 2.12
Ge1 0.3701 0.3701 0.0000  4 Ta 2.88, 5 Er 3.04-3.05
Ge2 0.6299 0.6299 0.0000  4 Ta 2.88, 5 Er 3.04-3.05
C1 0.0000 0.0000 0.0000  4 Ta 2.12

Output
final energy: -0.58340 Ry/atom
spin magnetization: 0.00 μB/atom
formation enthalpy at 0 K: -0.61 eV/atom
mass density: 10.5 Mg/m³
SG: I4/mmm, No. 139

=====

No. 12
# La2Pm2Y3

A relaxed La2Pm2Y3 crystal (PBE-GGA, Alexandria via LeMat-Bulk).

a b c (Å): 12.2786 12.2786 12.2786
angles (deg): 163.29 153.26 31.70
Closest atoms and distances in Å follow each position.
Positions (direct):
La1 0.0734 0.0734 0.0000  2 Pm 3.28, 3 La 3.47-3.57
La2 0.9266 0.9266 0.0000  2 Pm 3.28, 3 La 3.47-3.57
Pm1 0.3568 0.8568 0.5000  2 La 3.28, 1 Y 3.43, 2 Pm 3.57
Pm2 0.6432 0.1432 0.5000  2 La 3.28, 1 Y 3.43, 2 Pm 3.57
Y1 0.2116 0.7116 0.5000  5 Pm 3.43-3.72, 6 Y 3.57-3.81, 2 La 3.72
Y2 0.5000 0.5000 0.0000  2 Y 3.57, 8 La 3.78, 4 Pm 3.83
Y3 0.7884 0.2884 0.5000  5 Pm 3.43-3.72, 6 Y 3.57-3.81, 2 La 3.72

Output
final energy: -0.40254 Ry/atom
spin magnetization: 0.00 μB/atom
formation enthalpy at 0 K: 0.06 eV/atom
mass density: 5.8 Mg/m³
relative energy among the computed polymorphs: 0 meV per atom
SG: Immm, No. 71

=====

No. 13
# KLi2PdI

A relaxed KLi2PdI crystal (PBE-GGA, Alexandria via LeMat-Bulk).

a b c (Å): 4.9890 4.9890 6.3155
angles (deg): 90.00 90.00 90.00
Closest atoms and distances in Å follow each position.
Positions (direct):
K1 0.0000 0.0000 0.0000  2 Pd 3.16, 4 I 3.53
Li1 0.0000 0.5000 0.5000  2 Pd 2.49
Li2 0.5000 0.0000 0.5000  2 Pd 2.49
Pd1 0.0000 0.0000 0.5000  4 Li 2.49
I1 0.5000 0.5000 0.0000  4 K 3.53

Output
final energy: -0.20110 Ry/atom
energy relative to the elements, uncorrected: -0.403 eV per atom
spin magnetization: 0.00 μB/atom
mass density: 3.0 Mg/m³
SG: P4/mmm, No. 123

=====

No. 14
# LiErTmIr

A relaxed LiErTmIr crystal (PBE-GGA, Alexandria via LeMat-Bulk).

a b c (Å): 4.8574 4.8574 4.8574
angles (deg): 60.00 60.00 60.00
Closest atoms and distances in Å follow each position.
Positions (direct):
Li1 0.0000 0.0000 0.0000  4 Er 2.97, 4 Tm 2.97
Er1 0.2500 0.2500 0.2500  4 Li 2.97, 4 Ir 2.97
Tm1 0.7500 0.7500 0.7500  4 Li 2.97, 4 Ir 2.97
Ir1 0.5000 0.5000 0.5000  4 Er 2.97, 4 Tm 2.97

Output
final energy: -0.40991 Ry/atom
spin magnetization: 0.00 μB/atom
formation enthalpy at 0 K: -0.62 eV/atom
mass density: 11.0 Mg/m³
SG: F-43m, No. 216

=====

No. 15
# Sc3TiH

A relaxed Sc3TiH crystal (PBE-GGA, Alexandria via LeMat-Bulk).

a b c (Å): 5.0343 5.0343 5.0343
angles (deg): 90.00 90.00 90.00
Closest atoms and distances in Å follow each position.
Positions (direct):
Sc1 0.0000 0.0000 0.5000  2 Ti 2.52
Sc2 0.0000 0.5000 0.0000  2 Ti 2.52
Sc3 0.5000 0.0000 0.0000  2 Ti 2.52
Ti1 0.0000 0.0000 0.0000  6 Sc 2.52
H1 0.5000 0.5000 0.5000  12 Sc 3.56

Output
final energy: -0.36281 Ry/atom
spin magnetization: 0.00 μB/atom
mass density: 2.4 Mg/m³
relative energy among the computed polymorphs: 1192 meV per atom
SG: Pm-3m, No. 221

=====

No. 16
# TiSeN2F

A relaxed TiSeN2F crystal (PBE-GGA, Alexandria via LeMat-Bulk).

a b c (Å): 3.9522 3.9522 3.9269
angles (deg): 90.00 90.00 90.00
Closest atoms and distances in Å follow each position.
Positions (direct):
Ti1 0.0000 0.0000 0.0000  8 N 2.79, 4 F 2.79
Se1 0.5000 0.5000 0.5000  2 F 1.96, 4 N 1.98
N1 0.0000 0.5000 0.5000  2 Se 1.98
N2 0.5000 0.0000 0.5000  2 Se 1.98
F1 0.5000 0.5000 0.0000  2 Se 1.96

Output
final energy: -0.38642 Ry/atom
energy relative to the elements, uncorrected: 0.723 eV per atom
spin magnetization: 0.05 μB/atom
mass density: 4.7 Mg/m³
relative energy among the computed polymorphs: 904 meV per atom
SG: P4/mmm, No. 123

=====

No. 17
# Fe2ReMo

A relaxed Fe2ReMo crystal (PBE-GGA, Alexandria via LeMat-Bulk).

a b c (Å): 8.7932 8.7932 8.7932
angles (deg): 17.55 17.55 17.55
Closest atoms and distances in Å follow each position.
Positions (direct):
Fe1 0.2482 0.2482 0.2482  3 Re 2.62, 6 Fe 2.68, 3 Mo 2.70
Fe2 0.7518 0.7518 0.7518  3 Re 2.62, 6 Fe 2.68, 3 Mo 2.70
Re1 0.5000 0.5000 0.5000  6 Fe 2.62, 6 Re 2.68
Mo1 0.0000 0.0000 0.0000  6 Mo 2.68, 6 Fe 2.70

Output
final energy: -0.72000 Ry/atom
spin magnetization: 0.70 μB/atom
formation enthalpy at 0 K: 0.26 eV/atom
mass density: 12.1 Mg/m³
SG: R-3m, No. 166

=====

No. 18
# KRe2Rh

A relaxed KRe2Rh crystal (PBE-GGA, Alexandria via LeMat-Bulk).

a b c (Å): 2.6216 5.2175 5.2586
angles (deg): 90.00 91.73 90.00
Closest atoms and distances in Å follow each position.
Positions (direct):
K1 0.0000 0.0000 0.0000  2 K 2.62, 2 Rh 2.90
Re1 0.3537 0.5000 0.2746  3 Re 2.47-2.62
Re2 0.6463 0.5000 0.7254  3 Re 2.47-2.62
Rh1 0.5000 0.0000 0.5000  2 Rh 2.62, 4 Re 2.89, 2 K 2.90

Output
final energy: -0.52365 Ry/atom
spin magnetization: 0.08 μB/atom
formation enthalpy at 0 K: 1.21 eV/atom
mass density: 11.9 Mg/m³
relative energy among the computed polymorphs: 615 meV per atom
SG: P2/m, No. 10

=====

No. 19
# KNa2AuS

A relaxed KNa2AuS crystal (PBE-GGA, Alexandria via LeMat-Bulk).

a b c (Å): 5.2427 5.2427 6.0858
angles (deg): 90.00 90.00 90.00
Closest atoms and distances in Å follow each position.
Positions (direct):
K1 0.0000 0.0000 0.0000  2 S 3.04
Na1 0.0000 0.5000 0.5000  2 S 2.62
Na2 0.5000 0.0000 0.5000  2 S 2.62
Au1 0.5000 0.5000 0.0000  4 K 3.71, 8 Na 4.02
S1 0.0000 0.0000 0.5000  4 Na 2.62

Output
final energy: -0.21024 Ry/atom
energy relative to the elements, uncorrected: -0.632 eV per atom
spin magnetization: 0.00 μB/atom
mass density: 3.1 Mg/m³
SG: P4/mmm, No. 123

=====

No. 20
# PrErSbSe

A relaxed PrErSbSe crystal (PBE-GGA, Alexandria via LeMat-Bulk).

a b c (Å): 7.9041 7.9041 7.9041
angles (deg): 30.88 30.88 30.88
Closest atoms and distances in Å follow each position.
Positions (direct):
Pr1 0.0000 0.0000 0.0000  3 Sb 3.15, 3 Se 3.17
Er1 0.1674 0.1674 0.1674  3 Se 2.99, 3 Sb 2.99
Sb1 0.5781 0.5781 0.5781  3 Er 2.99, 3 Pr 3.15
Se1 0.7570 0.7570 0.7570  3 Er 2.99, 3 Pr 3.17

Output
final energy: -0.41314 Ry/atom
energy relative to the elements, uncorrected: -1.384 eV per atom
spin magnetization: 0.13 μB/atom
mass density: 7.3 Mg/m³
SG: R3m, No. 160